Below is crystalline LiOsIO2 at its relaxed geometry, with properties calculated at the PBE-GGA level.

Properties
DOS at the Fermi energy   1.48 states/eV/f.u.
Space-group type   No. 123
Energy   -5.71 eV per atom
Energy relative to the elements, uncorrected   -76.50 kJ per mole of atoms
Distance to the lowest polymorph of the same formula   0 kJ/mol of formula units

Cell lengths 3.7466, 3.7466, 8.4599 Å; angles 90.00, 90.00, 90.00 degrees
Closest atoms and distances in Å follow each position.
Sites, in units of the cell vectors:
1 I 0.0000 0.0000 0.5000  4 Li 2.65
2 O 0.5000 0.0000 0.0000  2 Os 1.87
3 O 0.0000 0.5000 0.0000  2 Os 1.87
4 Li 0.5000 0.5000 0.5000  4 I 2.65
5 Os 0.0000 0.0000 0.0000  4 O 1.87



Below is crystalline LiPaIO5 at its relaxed geometry, with properties calculated at the PBE-GGA level.

Properties
DOS at the Fermi energy   2.34 states/eV/f.u.
Space-group type   No. 15
Energy   -6.60 eV per atom
Energy relative to the elements, uncorrected   -181.73 kJ per mole of atoms

Cell lengths 5.8870, 5.8870, 8.3470 Å; angles 103.36, 103.36, 101.02 degrees
Closest atoms and distances in Å follow each position.
Sites, in units of the cell vectors:
1 O 0.2440 0.8090 0.0566  1 Li 1.94, 1 Pa 2.03
2 O 0.1910 0.7560 0.4434  1 Li 1.94, 1 Pa 2.03
3 O 0.6580 0.6548 0.3895  1 I 1.90, 1 Li 2.10
4 O 0.3420 0.3452 0.6105  1 I 1.90, 1 Li 2.10
5 O 0.8090 0.2440 0.5566  1 Li 1.94, 1 Pa 2.03
6 O 0.6548 0.6580 0.8895  1 I 1.90, 1 Li 2.10
7 O 0.3452 0.3420 0.1105  1 I 1.90, 1 Li 2.10
8 O 0.9298 0.0702 0.2500  2 Pa 2.18
9 O 0.7560 0.1910 0.9434  1 Li 1.94, 1 Pa 2.03
10 O 0.0702 0.9298 0.7500  2 Pa 2.18
11 I 0.3482 0.6518 0.7500  2 O 1.90
12 I 0.6518 0.3482 0.2500  2 O 1.90
13 Li 0.6779 0.3221 0.7500  4 O 1.94-2.10
14 Li 0.3221 0.6779 0.2500  4 O 1.94-2.10
15 Pa 0.0000 0.0000 0.5000  4 O 2.03-2.18
16 Pa 0.0000 0.0000 0.0000  4 O 2.03-2.18



Below is crystalline Li2Pa2I2O5 at its relaxed geometry, with properties calculated at the PBE-GGA level.

Properties
DOS at the Fermi energy   0.00 states/eV/f.u.
Space-group type   No. 139
Energy   -7.24 eV per atom
Energy relative to the elements, uncorrected   -253.89 kJ per mole of atoms

Cell lengths 4.2554, 4.2554, 14.4134 Å; angles 98.49, 98.49, 90.00 degrees
Closest atoms and distances in Å follow each position.
Sites, in units of the cell vectors:
1 O 0.5876 0.0876 0.1753  2 Pa 2.16
2 O 0.0000 0.0000 0.0000  2 Pa 2.13
3 O 0.4124 0.9124 0.8247  2 Pa 2.16
4 O 0.9124 0.4124 0.8247  2 Pa 2.16
5 O 0.0876 0.5876 0.1753  2 Pa 2.16
6 Li 0.3645 0.3645 0.7289  4 O 2.52
7 Li 0.6355 0.6355 0.2711  4 O 2.52
8 Pa 0.0755 0.0755 0.1509  5 O 2.13-2.16
9 Pa 0.9245 0.9245 0.8491  5 O 2.13-2.16
10 I 0.1864 0.1864 0.3728  1 Pa 3.13, 4 Li 3.33
11 I 0.8136 0.8136 0.6272  1 Pa 3.13, 4 Li 3.33